1.
Compound: SrP2NCl
Source: the Alexandria database
Functional: PBE
Structure: relaxed

Cell lengths 6.3731, 6.3731, 5.6237 Å; angles 90.00, 90.00, 90.00 degrees
With the nearest neighbours (Å) after each atom.
Sites, in units of the cell vectors:
Sr1 0.0000 0.0000 0.0000  2 Cl 2.81
P1 0.0000 0.5000 0.0000  2 Sr 3.19
P2 0.5000 0.0000 0.0000  2 Sr 3.19
N1 0.5000 0.5000 0.5000  8 P 4.25, 4 Cl 4.51
Cl1 0.0000 0.0000 0.5000  2 Sr 2.81

## Properties
Polymorph energy (0 for the lowest one), meV/atom: 1449.3
Uncorrected formation energy, eV/atom: 1.36
DOS at the Fermi energy, states/eV/cell: 1.7
Volume, Å³ per cell: 228.4
Space group: P4/mmm, No. 123
E_tot, eV/cell: -15.9
Crystal system: tetragonal

2.
Compound: CaAc2PrHg4
Source: the Alexandria database
Functional: PBE
Structure: relaxed

Cell lengths 9.6792, 9.6792, 9.6792 Å; angles 33.55, 33.55, 33.55 degrees
With the nearest neighbours (Å) after each atom.
Sites, in units of the cell vectors:
Ca1 0.0000 0.0000 0.0000  8 Hg 3.43
Ac1 0.2518 0.2518 0.2518  8 Hg 3.39-3.46
Ac2 0.7482 0.7482 0.7482  8 Hg 3.39-3.46
Pr1 0.5000 0.5000 0.5000  8 Hg 3.40-3.42
Hg1 0.1254 0.1254 0.1254  3 Pr 3.42, 1 Ca 3.43, 4 Ac 3.44-3.46
Hg2 0.3757 0.3757 0.3757  4 Ac 3.39-3.40, 1 Pr 3.40, 3 Ca 3.43
Hg3 0.6243 0.6243 0.6243  4 Ac 3.39-3.40, 1 Pr 3.40, 3 Ca 3.43
Hg4 0.8746 0.8746 0.8746  3 Pr 3.42, 1 Ca 3.43, 4 Ac 3.44-3.46

## Properties
Energy of formation, eV per atom: -0.501
DOS at the Fermi energy, states/eV/cell: 7.0
Volume, Å³ per cell: 246.7
Space group: R-3m, No. 166
E_tot, eV/cell: -20.2
Crystal system: trigonal

3.
Compound: Sr2In4PtAu3
Source: the Alexandria database
Functional: PBE
Structure: relaxed

Cell lengths 4.7181, 4.7181, 11.3923 Å; angles 90.00, 90.00, 90.00 degrees
With the nearest neighbours (Å) after each atom.
Sites, in units of the cell vectors:
Sr1 0.0000 0.5000 0.2388  8 In 3.60-3.80, 2 Pt 3.60, 6 Au 3.60-3.61
Sr2 0.5000 0.0000 0.7612  8 In 3.60-3.80, 2 Pt 3.60, 6 Au 3.60-3.61
In1 0.0000 0.0000 0.5000  4 Au 2.85
In2 0.0000 0.5000 0.8788  3 Au 2.72-2.73, 2 Pt 2.73
In3 0.5000 0.0000 0.1212  3 Au 2.72-2.73, 2 Pt 2.73
In4 0.5000 0.5000 0.5000  4 Au 2.85
Pt1 0.5000 0.5000 0.0000  4 In 2.73
Au1 0.0000 0.0000 0.0000  4 In 2.73
Au2 0.0000 0.5000 0.6401  5 In 2.72-2.85
Au3 0.5000 0.0000 0.3599  5 In 2.72-2.85

## Properties
Energy of formation, eV per atom: -0.552
DOS at the Fermi energy, states/eV/cell: 5.4
Volume, Å³ per cell: 253.6
Space group: P-4m2, No. 115
E_tot, eV/cell: -35.7
Crystal system: tetragonal